Entry from the Alexandria database: a geometry-optimized KMg2MnOs structure (PBE-GGA).

Formation enthalpy at 0 K: 0.75 eV/atom

Cell and atoms, written as CIF:
```
data_KMg2MnOs
_symmetry_space_group_name_H-M 'P 4/m m m'
_symmetry_Int_Tables_number 123
_symmetry_space_group_name_Hall '-P 4 2'
_cell_length_a 5.172
_cell_length_b 5.172
_cell_length_c 4.443
_cell_angle_alpha 90.00
_cell_angle_beta 90.00
_cell_angle_gamma 90.00
loop_
_atom_site_label
_atom_site_type_symbol
_atom_site_fract_x
_atom_site_fract_y
_atom_site_fract_z
_atom_site_occupancy
K1 K 0.000 0.000 0.000 1
Mg1 Mg 0.000 0.500 0.500 1
Mn1 Mn 0.500 0.500 0.500 1
Os1 Os 0.500 0.500 0.000 1
```

=====

Entry from the Alexandria database: a geometry-optimized KMgMnP2 structure (PBE-GGA).

Formation enthalpy at 0 K: 0.41 eV/atom

Cell and atoms, written as CIF:
```
data_KMgMnP2
_symmetry_space_group_name_H-M 'P 4/m m m'
_symmetry_Int_Tables_number 123
_symmetry_space_group_name_Hall '-P 4 2'
_cell_length_a 4.547
_cell_length_b 4.547
_cell_length_c 5.476
_cell_angle_alpha 90.00
_cell_angle_beta 90.00
_cell_angle_gamma 90.00
loop_
_atom_site_label
_atom_site_type_symbol
_atom_site_fract_x
_atom_site_fract_y
_atom_site_fract_z
_atom_site_occupancy
K1 K 0.000 0.000 0.000 1
Mg1 Mg 0.500 0.500 0.000 1
Mn1 Mn 0.000 0.000 0.500 1
P1 P 0.000 0.500 0.500 1
```

=====

Entry from the Alexandria database: a geometry-optimized KMgMnPd2 structure (PBE-GGA).

Formation enthalpy at 0 K: 0.78 eV/atom

Cell and atoms, written as CIF:
```
data_KMgMnPd2
_symmetry_space_group_name_H-M 'P 4/m m m'
_symmetry_Int_Tables_number 123
_symmetry_space_group_name_Hall '-P 4 2'
_cell_length_a 4.844
_cell_length_b 4.844
_cell_length_c 5.391
_cell_angle_alpha 90.00
_cell_angle_beta 90.00
_cell_angle_gamma 90.00
loop_
_atom_site_label
_atom_site_type_symbol
_atom_site_fract_x
_atom_site_fract_y
_atom_site_fract_z
_atom_site_occupancy
K1 K 0.000 0.000 0.000 1
Mg1 Mg 0.000 0.000 0.500 1
Mn1 Mn 0.500 0.500 0.000 1
Pd1 Pd 0.000 0.500 0.500 1
```

=====

Entry from the Alexandria database: a geometry-optimized KMg2MnRu structure (PBE-GGA).

Formation enthalpy at 0 K: 0.39 eV/atom

Cell and atoms, written as CIF:
```
data_KMg2MnRu
_symmetry_space_group_name_H-M 'P 4/m m m'
_symmetry_Int_Tables_number 123
_symmetry_space_group_name_Hall '-P 4 2'
_cell_length_a 5.216
_cell_length_b 5.216
_cell_length_c 4.676
_cell_angle_alpha 90.00
_cell_angle_beta 90.00
_cell_angle_gamma 90.00
loop_
_atom_site_label
_atom_site_type_symbol
_atom_site_fract_x
_atom_site_fract_y
_atom_site_fract_z
_atom_site_occupancy
K1 K 0.000 0.000 0.000 1
Mg1 Mg 0.000 0.500 0.500 1
Mn1 Mn 0.500 0.500 0.000 1
Ru1 Ru 0.500 0.500 0.500 1
```

=====

Entry from the Alexandria database: a geometry-optimized KMgMnSe3 structure (PBE-GGA).

Formation energy from raw total energies: -909 meV/atom

Cell and atoms, written as CIF:
```
data_KMgMnSe3
_symmetry_space_group_name_H-M 'P 1 21/m 1'
_symmetry_Int_Tables_number 11
_cell_length_a 7.750
_cell_length_b 3.842
_cell_length_c 11.599
_cell_angle_alpha 90.00
_cell_angle_beta 107.58
_cell_angle_gamma 90.00
loop_
_symmetry_equiv_pos_as_xyz
'x,y,z'
'-x,-y,-z'
'-x,y+1/2,-z'
'x,-y+1/2,z'
loop_
_atom_site_label
_atom_site_type_symbol
_atom_site_fract_x
_atom_site_fract_y
_atom_site_fract_z
_atom_site_occupancy
K1 K 0.004 0.250 0.307 1
Mg1 Mg 0.500 0.250 0.612 1
Mn1 Mn 0.453 0.250 0.117 1
Se1 Se 0.275 0.750 0.170 1
Se2 Se 0.283 0.750 0.527 1
Se3 Se 0.329 0.250 0.880 1
```

=====

Entry from the Alexandria database: a geometry-optimized KMgMn2Tc structure (PBE-GGA).

Formation enthalpy at 0 K: 1.55 eV/atom

Cell and atoms, written as CIF:
```
data_KMgMn2Tc
_symmetry_space_group_name_H-M 'P 4/m m m'
_symmetry_Int_Tables_number 123
_symmetry_space_group_name_Hall '-P 4 2'
_cell_length_a 5.069
_cell_length_b 5.069
_cell_length_c 4.960
_cell_angle_alpha 90.00
_cell_angle_beta 90.00
_cell_angle_gamma 90.00
loop_
_atom_site_label
_atom_site_type_symbol
_atom_site_fract_x
_atom_site_fract_y
_atom_site_fract_z
_atom_site_occupancy
K1 K 0.000 0.000 0.000 1
Mg1 Mg 0.500 0.500 0.500 1
Mn1 Mn 0.000 0.500 0.500 1
Tc1 Tc 0.500 0.500 0.000 1
```

=====

Entry from the Alexandria database: a geometry-optimized KMgMnTe3 structure (PBE-GGA).

Formation energy from raw total energies: -626 meV/atom

Cell and atoms, written as CIF:
```
data_KMgMnTe3
_symmetry_space_group_name_H-M 'P 1 21/m 1'
_symmetry_Int_Tables_number 11
_cell_length_a 8.238
_cell_length_b 4.164
_cell_length_c 12.458
_cell_angle_alpha 90.00
_cell_angle_beta 108.12
_cell_angle_gamma 90.00
loop_
_symmetry_equiv_pos_as_xyz
'x,y,z'
'-x,-y,-z'
'-x,y+1/2,-z'
'x,-y+1/2,z'
loop_
_atom_site_label
_atom_site_type_symbol
_atom_site_fract_x
_atom_site_fract_y
_atom_site_fract_z
_atom_site_occupancy
K1 K 0.012 0.250 0.307 1
Mg1 Mg 0.495 0.750 0.390 1
Mn1 Mn 0.455 0.250 0.116 1
Te1 Te 0.272 0.750 0.166 1
Te2 Te 0.277 0.750 0.531 1
Te3 Te 0.322 0.250 0.880 1
```

=====

Entry from the Alexandria database: a geometry-optimized KMgMo structure (PBE-GGA).

Formation enthalpy at 0 K: 1.93 eV/atom
Distance to the lowest polymorph of the same formula: 1.047 eV/atom

Cell and atoms, written as CIF:
```
data_KMgMo
_symmetry_space_group_name_H-M 'F -4 3 m'
_symmetry_Int_Tables_number 216
_symmetry_space_group_name_Hall 'F -4 2 3'
_cell_length_a 7.814
_cell_length_b 7.814
_cell_length_c 7.814
_cell_angle_alpha 90.00
_cell_angle_beta 90.00
_cell_angle_gamma 90.00
loop_
_atom_site_label
_atom_site_type_symbol
_atom_site_fract_x
_atom_site_fract_y
_atom_site_fract_z
_atom_site_occupancy
K1 K 0.000 0.000 0.000 1
Mg1 Mg 0.250 0.250 0.750 1
Mo1 Mo 0.250 0.250 0.250 1
```

=====

Entry from the Alexandria database: a geometry-optimized KMg3Mo structure (PBE-GGA).

Formation enthalpy at 0 K: 1.84 eV/atom
Distance to the lowest polymorph of the same formula: 1.066 eV/atom

Cell and atoms, written as CIF:
```
data_KMg3Mo
_symmetry_space_group_name_H-M 'P m -3 m'
_symmetry_Int_Tables_number 221
_symmetry_space_group_name_Hall '-P 4 2 3'
_cell_length_a 5.957
_cell_length_b 5.957
_cell_length_c 5.957
_cell_angle_alpha 90.00
_cell_angle_beta 90.00
_cell_angle_gamma 90.00
loop_
_atom_site_label
_atom_site_type_symbol
_atom_site_fract_x
_atom_site_fract_y
_atom_site_fract_z
_atom_site_occupancy
K1 K 0.000 0.000 0.000 1
Mg1 Mg 0.000 0.000 0.500 1
Mo1 Mo 0.500 0.500 0.500 1
```

=====

Entry from the Alexandria database: a geometry-optimized K2MgMo structure (PBE-GGA).

Formation enthalpy at 0 K: 1.08 eV/atom

Cell and atoms, written as CIF:
```
data_K2MgMo
_symmetry_space_group_name_H-M 'C m m m'
_symmetry_Int_Tables_number 65
_symmetry_space_group_name_Hall '-C 2 2'
_cell_length_a 3.388
_cell_length_b 4.943
_cell_length_c 12.811
_cell_angle_alpha 90.00
_cell_angle_beta 90.00
_cell_angle_gamma 90.00
loop_
_atom_site_label
_atom_site_type_symbol
_atom_site_fract_x
_atom_site_fract_y
_atom_site_fract_z
_atom_site_occupancy
K1 K 0.000 0.000 0.233 1
Mg1 Mg 0.000 0.500 0.500 1
Mo1 Mo 0.000 0.500 0.000 1
```

=====

Entry from the Alexandria database: a geometry-optimized KMg14Mo structure (PBE-GGA).

Formation enthalpy at 0 K: 0.20 eV/atom
Distance to the lowest polymorph of the same formula: 0.000 eV/atom

Cell and atoms, written as CIF:
```
data_KMg14Mo
_symmetry_space_group_name_H-M 'P -6 m 2'
_symmetry_Int_Tables_number 187
_symmetry_space_group_name_Hall 'P -6 2'
_cell_length_a 6.4632
_cell_length_b 6.4632
_cell_length_c 10.3623
_cell_angle_alpha 90.00
_cell_angle_beta 90.00
_cell_angle_gamma 120.00
loop_
_atom_site_label
_atom_site_type_symbol
_atom_site_fract_x
_atom_site_fract_y
_atom_site_fract_z
_atom_site_occupancy
K1 K 0.0000 0.0000 0.0000 1
Mg1 Mg 0.0109 0.5054 0.0000 1
Mg2 Mg 0.1638 0.3276 0.2740 1
Mg3 Mg 0.5043 0.0086 0.5000 1
Mg4 Mg 0.6667 0.3333 0.2403 1
Mo1 Mo 0.0000 0.0000 0.5000 1
```

=====

Entry from the Alexandria database: a geometry-optimized K2MgMo structure (PBE-GGA).

Formation enthalpy at 0 K: 1.21 eV/atom

Cell and atoms, written as CIF:
```
data_K2MgMo
_symmetry_space_group_name_H-M 'C m m m'
_symmetry_Int_Tables_number 65
_symmetry_space_group_name_Hall '-C 2 2'
_cell_length_a 6.571
_cell_length_b 11.686
_cell_length_c 3.649
_cell_angle_alpha 90.00
_cell_angle_beta 90.00
_cell_angle_gamma 90.00
loop_
_atom_site_label
_atom_site_type_symbol
_atom_site_fract_x
_atom_site_fract_y
_atom_site_fract_z
_atom_site_occupancy
K1 K 0.250 0.250 0.000 1
Mg1 Mg 0.000 0.000 0.500 1
Mo1 Mo 0.000 0.500 0.500 1
```